Record 1
MnIrPt: optimized geometry, PBE-GGA.

```
MnIrPt
1.0
2.777 0.000 0.000
-1.389 2.405 0.000
0.000 0.000 6.523
Pt Mn Ir
1 1 1
direct
0.333 0.667 0.653
0.667 0.333 0.329
0.000 0.000 0.018
```

Calculated values
Space-group type: P3m1
Relative energy among the computed polymorphs (meV per atom): 60


Record 2
Mn2IrPt5: optimized geometry, PBE-GGA.

```
Mn2IrPt5
1.0
3.870 0.000 0.000
0.000 5.562 0.000
0.000 0.000 11.125
Pt Mn Ir
10 4 2
direct
0.000 0.499 0.248
0.500 0.751 0.377
0.000 0.999 0.252
0.000 0.001 0.748
0.500 0.251 0.123
0.000 0.500 0.500
0.000 0.000 0.000
0.500 0.249 0.623
0.000 0.501 0.752
0.500 0.749 0.877
0.500 0.746 0.124
0.500 0.246 0.376
0.500 0.754 0.624
0.500 0.254 0.876
0.000 0.500 0.000
0.000 0.000 0.500
```

Calculated values
Space-group type: Pbam


Record 3
MnIr2Pt: optimized geometry, PBE-GGA.

```
MnIr2Pt
1.0
2.777 0.000 0.000
0.000 4.654 0.000
0.000 0.000 4.636
Pt Ir Mn
1 2 1
direct
0.000 0.500 0.500
0.000 0.000 0.000
0.500 0.500 0.000
0.500 0.000 0.500
```

Calculated values
Space-group type: Pmmm


Record 4
MnIr2Pt2: optimized geometry, PBE-GGA.

```
MnIr2Pt2
1.0
-1.819 1.598 2.810
-1.760 -3.194 0.677
2.754 -2.476 5.639
Pt Mn Ir
2 1 2
direct
0.250 0.750 0.500
0.750 0.250 0.500
0.000 0.000 0.000
0.595 0.595 0.810
0.405 0.405 0.190
```

Calculated values
Space-group type: I4/mmm
Relative energy among the computed polymorphs (meV per atom): 148


Record 5
MnIr2Pt: optimized geometry, PBE-GGA.

```
MnIr2Pt
1.0
8.963 -0.006 -0.003
8.553 2.678 -0.003
8.553 1.305 2.339
Ir Mn Pt
2 1 1
direct
0.507 0.507 0.507
0.993 0.993 0.993
0.250 0.250 0.250
0.750 0.750 0.750
```

Calculated values
Space-group type: R-3m


Record 6
MnIr2Pt: optimized geometry, PBE-GGA.

```
MnIr2Pt
1.0
4.391 0.000 0.000
2.196 3.803 0.000
2.196 1.268 3.585
Ir Pt Mn
2 1 1
direct
0.000 0.000 0.000
0.750 0.750 0.750
0.250 0.250 0.250
0.500 0.500 0.500
```

Calculated values
Space-group type: F-43m


no.,total moment (μB/cell),formation energy (eV per atom)
1,3.186,-0.0919
2,15.743,-0.3016
3,4.198,0.0691
4,3.350,0.3279
5,0.811,-0.0502
6,3.888,0.1987